No. 1
LaCdBr: relaxed, PBE.

a b c (Å): 5.2341 5.2341 5.2341
angles (deg): 60.00 60.00 60.00
Last column: nearest neighbours and their distance in Å.
Positions (direct):
Cd1 0.5000 0.5000 0.5000  4 La 3.21
La1 0.7500 0.7500 0.7500  4 Cd 3.21, 4 Br 3.21
Br1 0.0000 0.0000 0.0000  4 La 3.21

Output
* crystal system: cubic
* symmetry: F-43m, No. 216
* calculated density: 5.4 g/cm³



No. 2
LaCd4Br: relaxed, PBE.

a b c (Å): 6.1298 6.1298 6.1298
angles (deg): 60.00 60.00 60.00
Last column: nearest neighbours and their distance in Å.
Positions (direct):
Cd1 0.3752 0.3752 0.8743  6 Cd 3.06-3.07
Cd2 0.3752 0.8743 0.3752  6 Cd 3.06-3.07
Cd3 0.3752 0.3752 0.3752  6 Cd 3.06-3.07
Cd4 0.8743 0.3752 0.3752  6 Cd 3.06-3.07
Br1 0.0000 0.0000 0.0000  12 Cd 3.59, 4 La 3.75
La1 0.7500 0.7500 0.7500  12 Cd 3.59, 4 Br 3.75

Output
* crystal system: cubic
* symmetry: F-43m, No. 216
* calculated density: 6.8 g/cm³



No. 3
LaCdBr2: relaxed, PBE.

a b c (Å): 3.9309 3.9309 8.1726
angles (deg): 90.00 90.00 90.00
Last column: nearest neighbours and their distance in Å.
Positions (direct):
Br1 0.0000 0.0000 0.9357  4 La 3.24, 1 Cd 3.62
Br2 0.5000 0.5000 0.3405  4 Cd 3.04, 1 La 3.19
La1 0.5000 0.5000 0.7313  5 Br 3.19-3.24, 4 Cd 3.40
Cd1 0.0000 0.0000 0.4925  4 Br 3.04, 4 La 3.40

Output
* crystal system: tetragonal
* symmetry: P4mm, No. 99
* calculated density: 5.4 g/cm³



Ordered raw formation energy results: -486 -210 -1060; unit meV per atom.